Entry from Alexandria: a PBEsol-optimized structure of TlMo2Pb (SCAN).

Output
The value obtained for the mass density is 13.2 Mg/m³. For the energy above the lowest structure with this stoichiometry, the calculation gives 0.000 eV per formula unit.

```
4
Lattice="3.1102 0.0000 0.0000 1.5551 2.6935 0.0000 1.5551 0.8978 9.0462" Properties=species:S:1:pos:R:3 pbc="T T T"
Mo 1.5551 0.8978 2.2740
Mo 4.6653 2.6935 6.7721
Pb 3.1102 1.7957 4.5231
Tl 0.0000 0.0000 0.0000
```

Entry from Alexandria: a PBEsol-optimized structure of ZnMo2As (SCAN).

Output
The value obtained for the mass density is 9.6 Mg/m³. For the energy above the lowest structure with this stoichiometry, the calculation gives 0.282 eV per formula unit.

```
4
Lattice="4.3363 0.0000 0.0000 2.1681 3.7553 0.0000 2.1681 1.2518 3.5406" Properties=species:S:1:pos:R:3 pbc="T T T"
As 4.3363 2.5036 1.7703
Mo 2.1681 1.2518 0.8851
Mo 6.5044 3.7553 2.6554
Zn 0.0000 0.0000 0.0000
```

So what do the calculations give for ΔE_f? Going down the list: 0.89 0.26 eV per atom.
So what do the calculations give for calculated volume? Going down the list: 18.95 14.41 A^3/atom.